Entry 1:
# NdInPd PBE optimized geometry
# Electronic total energy ... -45.1 eV per cell
# SG ... P-62m
data_NdInPd
_cell_length_a 7.6657
_cell_length_b 7.6657
_cell_length_c 4.1302
_cell_angle_alpha 90.00
_cell_angle_beta 90.00
_cell_angle_gamma 120.00
_symmetry_space_group_name_H-M 'P 1'
_symmetry_Int_Tables_number 1
loop_
_symmetry_equiv_pos_as_xyz
'x,y,z'
loop_
_atom_site_label
_atom_site_type_symbol
_atom_site_fract_x
_atom_site_fract_y
_atom_site_fract_z
Pd1 Pd 0.0000 0.0000 0.5000
Pd2 Pd 0.6667 0.3333 0.0000
Pd3 Pd 0.3333 0.6667 0.0000
Nd1 Nd 0.5861 0.0000 0.5000
Nd2 Nd 0.0000 0.5861 0.5000
Nd3 Nd 0.4139 0.4139 0.5000
In1 In 0.7510 0.7510 0.0000
In2 In 0.2490 0.0000 0.0000
In3 In 0.0000 0.2490 0.0000



Entry 2:
# Nd4In21Pd10 PBE optimized geometry
# Electronic total energy ... -147.3 eV per cell
# SG ... C2/m
data_Nd4In21Pd10
_cell_length_a 11.9005
_cell_length_b 11.9005
_cell_length_c 17.3635
_cell_angle_alpha 123.79
_cell_angle_beta 123.79
_cell_angle_gamma 22.00
_symmetry_space_group_name_H-M 'P 1'
_symmetry_Int_Tables_number 1
loop_
_symmetry_equiv_pos_as_xyz
'x,y,z'
loop_
_atom_site_label
_atom_site_type_symbol
_atom_site_fract_x
_atom_site_fract_y
_atom_site_fract_z
Pd1 Pd 0.0246 0.0246 0.6109
Pd2 Pd 0.2510 0.2510 0.6153
Pd3 Pd 0.4942 0.4942 0.8134
Pd4 Pd 0.3462 0.3462 0.1121
Pd5 Pd 0.1373 0.1373 0.1066
Pd6 Pd 0.9754 0.9754 0.3891
Pd7 Pd 0.7490 0.7490 0.3847
Pd8 Pd 0.8627 0.8627 0.8934
Pd9 Pd 0.5058 0.5058 0.1866
Pd10 Pd 0.6538 0.6538 0.8879
In1 In 0.4574 0.4574 0.6323
In2 In 0.6161 0.6161 0.7051
In3 In 0.3696 0.3696 0.8013
In4 In 0.7011 0.7011 0.5000
In5 In 0.2989 0.2989 0.5000
In6 In 0.2511 0.2511 0.2941
In7 In 0.9355 0.9355 0.2023
In8 In 0.8837 0.8837 0.4482
In9 In 0.5000 0.5000 0.5000
In10 In 0.5426 0.5426 0.3677
In11 In 0.3839 0.3839 0.2949
In12 In 0.6304 0.6304 0.1987
In13 In 0.7489 0.7489 0.7059
In14 In 0.6014 0.6014 0.9974
In15 In 0.2018 0.2018 0.0048
In16 In 0.0645 0.0645 0.7977
In17 In 0.7982 0.7982 0.9952
In18 In 0.1163 0.1163 0.5518
In19 In 0.3986 0.3986 0.0026
In20 In 0.9896 0.9896 0.9068
In21 In 0.0104 0.0104 0.0932
Nd1 Nd 0.1226 0.1226 0.3324
Nd2 Nd 0.8774 0.8774 0.6676
Nd3 Nd 0.7700 0.7700 0.1740
Nd4 Nd 0.2300 0.2300 0.8260



Entry 3:
# NdInPd PBE optimized geometry
# Electronic total energy ... -42.9 eV per cell
# SG ... P-62m
data_NdInPd
_cell_length_a 8.0351
_cell_length_b 8.0351
_cell_length_c 3.9352
_cell_angle_alpha 90.00
_cell_angle_beta 90.00
_cell_angle_gamma 120.00
_symmetry_space_group_name_H-M 'P 1'
_symmetry_Int_Tables_number 1
loop_
_symmetry_equiv_pos_as_xyz
'x,y,z'
loop_
_atom_site_label
_atom_site_type_symbol
_atom_site_fract_x
_atom_site_fract_y
_atom_site_fract_z
Pd1 Pd 0.3333 0.6667 0.5000
Pd2 Pd 0.6667 0.3333 0.5000
Pd3 Pd 0.0000 0.0000 0.0000
In1 In 0.6123 0.6123 0.0000
In2 In 0.0000 0.3877 0.0000
In3 In 0.3877 0.0000 0.0000
Nd1 Nd 0.7224 0.0000 0.5000
Nd2 Nd 0.2776 0.2776 0.5000
Nd3 Nd 0.0000 0.7224 0.5000